Below is KAlAu4 after structural relaxation, with properties calculated at the PBE level.

- Space group: F-43m, No. 216
- ρ: 11.045 g/cm3
- ΔH_f (0 K): -0.03 eV per atom
- Relative energy among the computed polymorphs: 241.1 meV/atom
- Total moment: 0.00 Bohr magnetons per cell
- Crystal system: cubic

Structure (extended XYZ):
```
6
Lattice="4.8383 -2.6396 1.2985 0.1668 -3.6324 4.3406 0.5460 -5.5514 -0.9732" Properties=species:S:1:pos:R:3 pbc="T T T"
Au 2.0804 -4.4309 1.7486
Au 2.3539 -7.2119 1.2611
Au 2.1639 -6.2506 3.9231
Au 4.5042 -5.7533 2.3991
K 4.1634 -8.8675 3.4995
Al 0.0000 0.0000 0.0000
```